Entry from Alexandria: NiSb2PtI after structural relaxation (PBE).

For the uncorrected formation energy, the calculation gives 866 meV per atom. The calculation puts the magnetization at 0.19 μB/f.u. The value obtained for the distance to the lowest polymorph of the same formula is 0.2339 eV/atom. The calculation puts the density of states at the Fermi level at 7.76 states/eV/cell.

CIF file:
```
data_NiSb2PtI
_cell_length_a 5.200
_cell_length_b 5.200
_cell_length_c 5.564
_cell_angle_alpha 90.00
_cell_angle_beta 90.00
_cell_angle_gamma 90.00
_space_group_name_H-M_alt 'P 4/m m m'
_space_group_IT_number 123
_space_group_name_Hall '-P 4 2'
loop_
_atom_site_label
_atom_site_type_symbol
_atom_site_fract_x
_atom_site_fract_y
_atom_site_fract_z
Ni1 Ni 0.000 0.000 0.000
Sb1 Sb 0.000 0.500 0.500
Pt1 Pt 0.500 0.500 0.500
I1 I 0.500 0.500 0.000
```